# 1
Computed, not measured: a relaxed structure of Ni2AgW at the GGA-PBE level of DFT.

The structure in extended XYZ format:
```
4
Lattice="2.6827 0.0000 0.0000 0.0000 3.8623 0.0000 0.0000 0.0000 5.3801" Properties=species:S:1:pos:R:3 pbc="T T T"
Ni 0.0000 0.0000 0.0000
Ni 1.3413 1.9312 1.2864
Ag 1.3413 1.9312 4.0388
W 0.0000 0.0000 2.3928
```

The density comes out at 12.2 g/cm³. For the offset from the most stable computed form, the calculation gives 221 meV per atom. The magnetic moment is 0.000 μB/cell. Its formation enthalpy at 0 K is 31.5 kJ/mol of atoms.

=====

# 2
Computed, not measured: a relaxed structure of NiAg2W at the GGA-PBE level of DFT.

The structure in extended XYZ format:
```
4
Lattice="2.6856 0.0000 0.0000 0.0000 4.8021 0.0000 -0.3466 0.0000 4.8386" Properties=species:S:1:pos:R:3 pbc="T T T"
Ni 0.0000 0.0000 0.0000
Ag 0.3346 2.4010 3.6476
Ag 2.0044 2.4010 1.1910
W 1.1695 0.0000 2.4193
```

The density comes out at 12.2 g/cm³. For the offset from the most stable computed form, the calculation gives 290 meV per atom. The magnetic moment is 0.000 μB/cell. Its formation enthalpy at 0 K is 52.8 kJ/mol of atoms.

=====

# 3
Computed, not measured: a relaxed structure of Ni2AgW at the GGA-PBE level of DFT.

The structure in extended XYZ format:
```
4
Lattice="4.6212 -1.3437 0.0000 4.6212 1.3437 0.0000 -1.1284 0.0000 4.4189" Properties=species:S:1:pos:R:3 pbc="T T T"
Ni 0.0000 0.0000 0.0000
Ni 6.3426 0.0000 1.2943
Ag 1.3403 0.0000 3.5459
W 3.8080 0.0000 2.0775
```

The density comes out at 12.4 g/cm³. For the offset from the most stable computed form, the calculation gives 162 meV per atom. The magnetic moment is 0.000 μB/cell. Its formation enthalpy at 0 K is 25.8 kJ/mol of atoms.

=====

# 4
Computed, not measured: a relaxed structure of NiAg2W at the GGA-PBE level of DFT.

The structure in extended XYZ format:
```
4
Lattice="-1.3648 2.4210 4.8303 1.3648 -2.4210 4.8303 1.3648 2.4210 -4.8303" Properties=species:S:1:pos:R:3 pbc="T T T"
Ni 0.0000 0.0000 0.0000
Ag 0.0000 0.0000 4.6961
Ag 0.0000 2.4210 2.5211
W 1.3648 0.0000 2.0530
```

The density comes out at 11.9 g/cm³. For the offset from the most stable computed form, the calculation gives 309 meV per atom. The magnetic moment is 0.000 μB/cell. Its formation enthalpy at 0 K is 54.7 kJ/mol of atoms.

=====

# 5
Computed, not measured: a relaxed structure of Ni2AgW at the GGA-PBE level of DFT.

The structure in extended XYZ format:
```
4
Lattice="2.6661 0.0000 0.0000 0.0000 4.1591 0.0000 -1.3248 0.0000 4.9547" Properties=species:S:1:pos:R:3 pbc="T T T"
Ni 0.0000 0.0000 0.0000
Ni -0.0014 2.0796 1.3456
Ag 0.0064 2.0796 3.9267
W 1.3340 0.0000 2.2740
```

The density comes out at 12.4 g/cm³. For the offset from the most stable computed form, the calculation gives 176 meV per atom. The magnetic moment is 0.000 μB/cell. Its formation enthalpy at 0 K is 27.2 kJ/mol of atoms.

=====

# 6
Computed, not measured: a relaxed structure of Ni2AgW at the GGA-PBE level of DFT.

The structure in extended XYZ format:
```
4
Lattice="0.0000 3.0070 3.0070 3.0070 0.0000 3.0070 3.0070 3.0070 0.0000" Properties=species:S:1:pos:R:3 pbc="T T T"
Ni 1.5035 1.5035 1.5035
Ni 4.5105 4.5105 4.5105
Ag 0.0000 0.0000 0.0000
W 3.0070 3.0070 3.0070
```

The density comes out at 12.5 g/cm³. For the offset from the most stable computed form, the calculation gives 218 meV per atom. The magnetic moment is 0.000 μB/cell. Its formation enthalpy at 0 K is 31.3 kJ/mol of atoms.

=====

Please write out number 1 again, unchanged.
Computed, not measured: a relaxed structure of Ni2AgW at the GGA-PBE level of DFT.

The structure in extended XYZ format:
```
4
Lattice="2.6827 0.0000 0.0000 0.0000 3.8623 0.0000 0.0000 0.0000 5.3801" Properties=species:S:1:pos:R:3 pbc="T T T"
Ni 0.0000 0.0000 0.0000
Ni 1.3413 1.9312 1.2864
Ag 1.3413 1.9312 4.0388
W 0.0000 0.0000 2.3928
```

The density comes out at 12.2 g/cm³. For the offset from the most stable computed form, the calculation gives 221 meV per atom. The magnetic moment is 0.000 μB/cell. Its formation enthalpy at 0 K is 31.5 kJ/mol of atoms.

=====

> Which of these has the lowest formation enthalpy at 0 K?

number 3

=====

> What is the density in the fourth record?

11.9 g/cm³